The following is a DFT calculation (GGA-PBEsol) of an optimized crystal structure of NaAsWSe2. Values from VASP.

Cell and atoms, written as Quantum ESPRESSO input:
```
&SYSTEM
  ibrav = 0, nat = 5, ntyp = 4
/
ATOMIC_SPECIES
Na 22.99 Na.upf
As 74.92 As.upf
W 183.84 W.upf
Se 78.96 Se.upf
ATOMIC_POSITIONS angstrom
Na 0.000 0.000 0.000
As 0.000 0.000 2.344
W 2.431 2.431 2.344
Se 0.000 2.431 0.000
Se 2.431 0.000 0.000
CELL_PARAMETERS angstrom
4.862 0.000 0.000
0.000 4.862 0.000
0.000 0.000 4.687
```

- final energy (eV per atom) = -3.9337
- N(E_F) (states/eV per atom) = 0.671

***

The following is a DFT calculation (GGA-PBEsol) of an optimized crystal structure of NaSi2As2. Values from VASP.

Cell and atoms, written as Quantum ESPRESSO input:
```
&SYSTEM
  ibrav = 0, nat = 5, ntyp = 3
/
ATOMIC_SPECIES
Na 22.99 Na.upf
Si 28.09 Si.upf
As 74.92 As.upf
ATOMIC_POSITIONS angstrom
Na 0.000 0.000 0.000
Si 2.255 0.000 2.788
Si 0.000 2.255 2.788
As 0.000 0.000 3.914
As 0.000 0.000 7.240
CELL_PARAMETERS angstrom
-2.255 2.255 5.577
2.255 -2.255 5.577
2.255 2.255 -5.577
```

- final energy (eV per atom) = -4.5070
- N(E_F) (states/eV per atom) = 0.308

***

The following is a DFT calculation (GGA-PBEsol) of an optimized crystal structure of Na5SiAs3. Values from VASP.

Cell and atoms, written as Quantum ESPRESSO input:
```
&SYSTEM
  ibrav = 0, nat = 36, ntyp = 3
/
ATOMIC_SPECIES
Na 22.99 Na.upf
Si 28.09 Si.upf
As 74.92 As.upf
ATOMIC_POSITIONS angstrom
Na -1.486 0.042 3.243
Na -5.538 3.694 9.919
Na -2.693 3.977 7.790
Na 1.359 7.232 1.114
Na 0.634 4.869 3.451
Na -3.418 6.340 10.127
Na -4.646 1.220 12.274
Na -0.595 2.516 5.598
Na -1.381 0.123 7.851
Na 2.671 3.613 1.175
Na -2.595 3.860 12.177
Na 1.457 7.350 5.501
Na 0.670 4.957 7.754
Na 4.722 6.253 1.078
Na 3.493 1.132 3.225
Na -0.558 2.604 9.901
Na -1.283 0.241 12.238
Na 2.768 3.496 5.562
Na 5.614 3.778 3.433
Na 1.562 7.431 10.109
Si -4.620 1.048 7.811
Si -0.568 2.689 1.135
Si 0.643 4.784 12.218
Si 4.695 6.425 5.541
As -3.324 1.382 5.793
As -7.376 2.354 12.469
As -1.275 5.522 5.600
As -5.327 5.688 12.276
As -3.353 1.754 9.686
As 0.699 1.983 3.010
As -0.623 5.490 10.343
As 3.429 5.719 3.666
As 5.403 1.785 1.076
As 1.351 1.951 7.752
As 7.451 5.119 0.883
As 3.400 6.090 7.559
CELL_PARAMETERS angstrom
8.179 0.000 0.000
0.000 7.473 0.000
-8.104 0.000 13.352
```

- final energy (eV per atom) = -3.5339

***

The following is a DFT calculation (GGA-PBEsol) of an optimized crystal structure of Na2Zn3SiAs4. Values from VASP.

Cell and atoms, written as Quantum ESPRESSO input:
```
&SYSTEM
  ibrav = 0, nat = 10, ntyp = 4
/
ATOMIC_SPECIES
Na 22.99 Na.upf
Zn 65.41 Zn.upf
Si 28.09 Si.upf
As 74.92 As.upf
ATOMIC_POSITIONS angstrom
Na 0.000 0.000 0.000
Na 6.789 0.000 3.093
Zn 0.367 0.000 5.407
Zn 10.050 0.000 2.007
Zn 12.626 0.000 0.706
Si 3.113 0.000 4.086
As 0.980 0.000 3.017
As 5.866 0.000 0.149
As 7.304 0.000 5.955
As 12.505 0.000 3.318
CELL_PARAMETERS angstrom
8.150 -2.017 0.000
8.150 2.017 0.000
-2.979 0.000 6.321
```

- final energy (eV per atom) = -3.6415
- N(E_F) (states/eV per atom) = 0.119

***

The following is a DFT calculation (GGA-PBEsol) of an optimized crystal structure of Na5SnAs3. Values from VASP.

Cell and atoms, written as Quantum ESPRESSO input:
```
&SYSTEM
  ibrav = 0, nat = 36, ntyp = 3
/
ATOMIC_SPECIES
Na 22.99 Na.upf
Sn 118.71 Sn.upf
As 74.92 As.upf
ATOMIC_POSITIONS angstrom
Na -0.631 1.220 1.114
Na -4.842 2.562 7.902
Na -5.617 0.042 10.295
Na -1.406 3.739 3.508
Na 1.444 3.953 1.183
Na -2.767 7.391 7.970
Na -3.583 4.866 10.090
Na 0.628 6.478 3.302
Na 2.756 0.290 1.202
Na -1.455 3.491 7.990
Na 1.572 4.071 5.586
Na -2.639 7.273 12.373
Na -0.511 1.085 10.273
Na 3.700 2.696 3.486
Na 2.884 0.172 5.605
Na -1.327 3.610 12.393
Na 1.523 3.824 10.068
Na 5.734 7.520 3.280
Na 4.960 5.001 5.674
Na 0.749 6.343 12.461
Sn -0.550 1.116 5.564
Sn -4.761 2.666 12.352
Sn 4.879 4.897 1.224
Sn 0.668 6.447 8.012
As -7.207 1.748 12.448
As -2.996 2.034 5.660
As -5.001 5.352 12.608
As -0.790 5.992 5.820
As 0.906 1.869 3.539
As -3.305 1.912 10.326
As 3.422 5.650 3.249
As -0.789 5.694 10.037
As 0.907 1.571 7.755
As 5.118 2.210 0.967
As 3.113 5.529 7.916
As 7.324 5.815 1.128
CELL_PARAMETERS angstrom
8.539 0.000 0.000
0.000 7.563 0.000
-8.422 0.000 13.576
```

- formation energy from the elements (eV/atom) = -0.408

***

The following is a DFT calculation (GGA-PBEsol) of an optimized crystal structure of NaSr2Sn6As6. Values from VASP.

Cell and atoms, written as Quantum ESPRESSO input:
```
&SYSTEM
  ibrav = 0, nat = 15, ntyp = 4
/
ATOMIC_SPECIES
Na 22.99 Na.upf
Sr 87.62 Sr.upf
Sn 118.71 Sn.upf
As 74.92 As.upf
ATOMIC_POSITIONS angstrom
Na 0.000 0.000 0.000
Sr 3.566 2.057 0.000
Sr 3.566 -2.057 0.000
Sn 1.200 2.080 3.356
Sn 0.023 0.000 5.611
Sn 1.200 -2.080 3.356
Sn 3.552 2.080 5.625
Sn 4.729 0.000 3.369
Sn 3.552 -2.080 5.625
As 2.390 4.141 1.990
As 2.363 4.141 6.990
As 2.350 0.000 1.991
As 2.403 0.000 6.990
As 2.390 -4.141 1.990
As 2.363 -4.141 6.990
CELL_PARAMETERS angstrom
3.566 -6.175 0.000
3.566 6.175 0.000
-2.379 0.000 8.981
```

- formation energy from the elements (eV/atom) = -0.465
- N(E_F) (states/eV per atom) = 0.135

***

The following is a DFT calculation (GGA-PBEsol) of an optimized crystal structure of NaSrAs. Values from VASP.

Cell and atoms, written as Quantum ESPRESSO input:
```
&SYSTEM
  ibrav = 0, nat = 9, ntyp = 3
/
ATOMIC_SPECIES
Na 22.99 Na.upf
Sr 87.62 Sr.upf
As 74.92 As.upf
ATOMIC_POSITIONS angstrom
Na -2.950 5.109 0.000
Na 0.944 1.634 0.000
Na 5.899 0.000 0.000
Sr -1.616 2.800 2.273
Sr 3.233 0.000 2.273
Sr 2.277 3.943 2.273
As 0.000 0.000 2.273
As 0.000 4.495 0.000
As 3.893 2.248 0.000
CELL_PARAMETERS angstrom
7.786 0.000 0.000
-3.893 6.743 0.000
0.000 0.000 4.547
```

- formation energy from the elements (eV/atom) = -0.874

***

The following is a DFT calculation (GGA-PBEsol) of an optimized crystal structure of Na2Sr3As4. Values from VASP.

Cell and atoms, written as Quantum ESPRESSO input:
```
&SYSTEM
  ibrav = 0, nat = 36, ntyp = 3
/
ATOMIC_SPECIES
Na 22.99 Na.upf
Sr 87.62 Sr.upf
As 74.92 As.upf
ATOMIC_POSITIONS angstrom
Na -1.405 1.385 5.804
Na -5.496 2.351 13.507
Na -3.981 4.788 11.574
Na 0.109 6.420 3.871
Na -0.084 1.052 11.536
Na 4.006 2.684 3.832
Na 5.521 5.121 1.900
Na 1.430 6.087 9.603
Sr -2.608 5.086 5.713
Sr -6.699 6.122 13.416
Sr 1.596 3.920 1.515
Sr -2.495 7.288 9.218
Sr 2.550 0.187 1.526
Sr -1.541 3.549 9.230
Sr 1.566 3.922 6.177
Sr -2.525 7.285 13.881
Sr 2.520 0.184 6.189
Sr -1.571 3.552 13.892
Sr 6.724 1.350 1.991
Sr 2.633 2.386 9.694
As -4.348 4.849 8.285
As -0.257 6.359 0.581
As -4.748 0.124 11.557
As -0.658 3.612 3.854
As 1.079 1.807 3.833
As -3.012 1.929 11.537
As -4.340 4.832 14.824
As -0.249 6.376 7.121
As 0.274 1.096 8.286
As 4.365 2.640 0.582
As 3.037 5.543 3.870
As -1.054 5.665 11.573
As 0.683 3.860 11.553
As 4.773 7.348 3.850
As 0.282 1.113 14.825
As 4.373 2.623 7.122
CELL_PARAMETERS angstrom
8.206 0.000 0.000
0.000 7.472 0.000
-8.181 0.000 15.407
```

- formation energy from the elements (eV/atom) = -0.869

***

The following is a DFT calculation (GGA-PBEsol) of an optimized crystal structure of Na4Sr2TiAs4. Values from VASP.

Cell and atoms, written as Quantum ESPRESSO input:
```
&SYSTEM
  ibrav = 0, nat = 22, ntyp = 4
/
ATOMIC_SPECIES
Na 22.99 Na.upf
Sr 87.62 Sr.upf
Ti 47.87 Ti.upf
As 74.92 As.upf
ATOMIC_POSITIONS angstrom
Na 1.787 2.302 3.616
Na 4.690 7.133 3.762
Na 3.754 4.406 6.137
Na 3.715 1.214 7.282
Na 1.741 -2.302 7.378
Na 3.762 -1.214 3.520
Na 3.800 -4.406 2.375
Na 4.736 -7.133 0.000
Sr 4.636 3.937 2.349
Sr 6.645 0.460 2.374
Sr 4.589 -3.937 6.111
Sr 6.598 -0.460 6.136
Ti 6.510 2.766 5.293
Ti 6.557 -2.766 1.532
As 3.892 6.692 0.820
As 1.897 3.182 0.755
As 4.557 1.546 4.429
As 1.850 -3.182 4.517
As 6.616 2.701 0.234
As 4.603 -1.546 0.668
As 3.845 -6.692 4.582
As 6.570 -2.701 3.995
CELL_PARAMETERS angstrom
4.736 -8.259 0.000
4.736 8.259 0.000
-0.093 0.000 7.523
```

- formation energy from the elements (eV/atom) = -0.775

***

The following is a DFT calculation (GGA-PBEsol) of an optimized crystal structure of NaTc2As2. Values from VASP.

Cell and atoms, written as Quantum ESPRESSO input:
```
&SYSTEM
  ibrav = 0, nat = 5, ntyp = 3
/
ATOMIC_SPECIES
Na 22.99 Na.upf
Tc 98.00 Tc.upf
As 74.92 As.upf
ATOMIC_POSITIONS angstrom
Na 0.000 0.000 0.000
Tc 2.069 0.000 2.593
Tc 0.000 2.069 2.593
As 0.000 0.000 3.879
As 0.000 0.000 6.494
CELL_PARAMETERS angstrom
-2.069 2.069 5.186
2.069 -2.069 5.186
2.069 2.069 -5.186
```

- formation energy from the elements (eV/atom) = -0.146
- N(E_F) (states/eV per atom) = 0.672

***

The following is a DFT calculation (GGA-PBEsol) of an optimized crystal structure of Na2Te2As. Values from VASP.

Cell and atoms, written as Quantum ESPRESSO input:
```
&SYSTEM
  ibrav = 0, nat = 40, ntyp = 3
/
ATOMIC_SPECIES
Na 22.99 Na.upf
Te 127.60 Te.upf
As 74.92 As.upf
ATOMIC_POSITIONS angstrom
Na 0.599 1.277 5.099
Na 0.793 6.193 11.806
Na 1.570 5.428 7.667
Na 2.043 7.350 4.227
Na 2.302 2.410 11.016
Na 2.775 4.332 0.878
Na 3.552 3.566 5.016
Na 3.746 8.483 11.889
Na 4.944 3.603 8.480
Na 5.138 8.446 1.773
Na 5.915 9.212 5.912
Na 6.388 7.290 9.352
Na 6.647 2.470 2.563
Na 7.120 0.548 12.701
Na 7.897 1.314 8.563
Na 8.091 6.157 1.690
Te 0.103 8.152 6.757
Te 0.706 4.404 3.978
Te 0.912 9.325 10.756
Te 1.999 2.366 7.740
Te 2.346 7.393 0.950
Te 3.433 0.435 3.966
Te 3.639 5.356 10.768
Te 4.242 1.608 13.546
Te 4.448 6.488 6.822
Te 5.051 0.476 9.601
Te 5.258 5.315 2.823
Te 6.344 2.513 5.839
Te 6.691 7.246 12.629
Te 7.778 4.445 9.613
Te 7.984 9.284 2.812
Te 8.587 3.272 0.033
As 0.897 9.542 0.755
As 1.959 8.266 8.619
As 2.386 1.494 1.829
As 3.448 0.218 7.544
As 5.242 5.098 12.824
As 6.304 6.374 4.960
As 6.732 3.386 11.750
As 7.793 4.662 6.035
CELL_PARAMETERS angstrom
8.690 0.000 0.000
0.000 9.760 0.000
0.000 0.000 13.579
```

- final energy (eV per atom) = -3.5212

***

The following is a DFT calculation (GGA-PBEsol) of an optimized crystal structure of NaTe2As. Values from VASP.

Cell and atoms, written as Quantum ESPRESSO input:
```
&SYSTEM
  ibrav = 0, nat = 8, ntyp = 3
/
ATOMIC_SPECIES
Na 22.99 Na.upf
Te 127.60 Te.upf
As 74.92 As.upf
ATOMIC_POSITIONS angstrom
Na 0.000 0.000 0.000
Na 0.000 3.409 3.280
Te 1.704 -1.404 4.920
Te 2.005 1.704 1.640
Te 1.704 4.813 -1.640
Te 1.404 1.704 8.200
As 3.409 0.000 3.280
As 0.000 0.000 6.560
CELL_PARAMETERS angstrom
-3.409 3.409 6.560
3.409 -3.409 6.560
3.409 3.409 -6.560
```

- final energy (eV per atom) = -3.5278
- N(E_F) (states/eV per atom) = 0.005

***

The following is a DFT calculation (GGA-PBEsol) of an optimized crystal structure of NaZn4As3. Values from VASP.

Cell and atoms, written as Quantum ESPRESSO input:
```
&SYSTEM
  ibrav = 0, nat = 8, ntyp = 3
/
ATOMIC_SPECIES
Na 22.99 Na.upf
Zn 65.41 Zn.upf
As 74.92 As.upf
ATOMIC_POSITIONS angstrom
Na 0.000 0.000 0.000
Zn 0.000 0.000 6.458
Zn 0.000 0.000 13.302
Zn 0.000 0.000 19.104
Zn 0.000 0.000 25.949
As 0.000 0.000 8.892
As 0.000 0.000 16.203
As 0.000 0.000 23.514
CELL_PARAMETERS angstrom
2.058 1.188 10.802
-2.058 1.188 10.802
0.000 -2.376 10.802
```

- formation energy from the elements (eV/atom) = -0.223
- N(E_F) (states/eV per atom) = 0.053

***

The following is a DFT calculation (GGA-PBEsol) of an optimized crystal structure of NbAs. Values from VASP.

Cell and atoms, written as Quantum ESPRESSO input:
```
&SYSTEM
  ibrav = 0, nat = 4, ntyp = 2
/
ATOMIC_SPECIES
Nb 92.91 Nb.upf
As 74.92 As.upf
ATOMIC_POSITIONS angstrom
Nb 0.000 0.000 0.000
Nb 0.000 1.723 2.900
As 1.723 0.000 1.956
As 0.000 0.000 4.856
CELL_PARAMETERS angstrom
-1.723 1.723 5.800
1.723 -1.723 5.800
1.723 1.723 -5.800
```

- formation energy from the elements (eV/atom) = -0.740
- N(E_F) (states/eV per atom) = 0.078

***

The following is a DFT calculation (GGA-PBEsol) of an optimized crystal structure of NbAs2. Values from VASP.

Cell and atoms, written as Quantum ESPRESSO input:
```
&SYSTEM
  ibrav = 0, nat = 6, ntyp = 2
/
ATOMIC_SPECIES
Nb 92.91 Nb.upf
As 74.92 As.upf
ATOMIC_POSITIONS angstrom
Nb 0.719 0.000 1.329
Nb 4.811 0.000 5.455
As -0.698 0.000 3.584
As 3.372 0.000 0.734
As 2.158 0.000 6.050
As 6.228 0.000 3.200
CELL_PARAMETERS angstrom
4.674 -1.682 0.000
4.674 1.682 0.000
-3.819 0.000 6.784
```

- formation energy from the elements (eV/atom) = -0.585
- N(E_F) (states/eV per atom) = 0.113

***

The following is a DFT calculation (GGA-PBEsol) of an optimized crystal structure of Nb4As3. Values from VASP.

Cell and atoms, written as Quantum ESPRESSO input:
```
&SYSTEM
  ibrav = 0, nat = 28, ntyp = 2
/
ATOMIC_SPECIES
Nb 92.91 Nb.upf
As 74.92 As.upf
ATOMIC_POSITIONS angstrom
Nb 0.000 0.000 0.000
Nb 0.000 0.000 9.363
Nb 1.747 6.550 14.044
Nb 1.747 3.479 12.387
Nb 1.747 3.479 15.701
Nb 1.747 2.499 0.519
Nb 1.747 2.499 8.844
Nb 1.747 0.479 11.603
Nb 1.747 0.479 16.485
Nb 1.747 -0.479 2.240
Nb 1.747 -0.479 7.123
Nb 1.747 -2.499 9.881
Nb 1.747 -2.499 18.207
Nb 1.747 -3.479 3.024
Nb 1.747 -3.479 6.339
Nb 1.747 -6.550 4.681
As 1.747 5.880 11.566
As 1.747 5.880 16.523
As 1.747 5.037 1.463
As 1.747 5.037 7.900
As 1.747 2.813 4.681
As 1.747 1.283 14.044
As 1.747 -1.283 4.681
As 1.747 -2.813 14.044
As 1.747 -5.037 10.826
As 1.747 -5.037 17.262
As 1.747 -5.880 2.203
As 1.747 -5.880 7.160
CELL_PARAMETERS angstrom
1.747 -7.336 0.000
1.747 7.336 0.000
0.000 0.000 18.726
```

- formation energy from the elements (eV/atom) = -0.651
- N(E_F) (states/eV per atom) = 0.538